i | # Tb3NdN4 | Alexandria | GGA-PBE | optimized geometry
# calculated volume: 15.684 Å³ per atom
# spin magnetization: 0.0 μB/f.u.
data_Tb3NdN4
_chemical_formula_sum 'Tb3 Nd1 N4'
_cell_length_a 5.006
_cell_length_b 5.006
_cell_length_c 5.006
_cell_angle_alpha 90.00
_cell_angle_beta 90.00
_cell_angle_gamma 90.00
_symmetry_space_group_name_H-M 'P 1'
_symmetry_Int_Tables_number 1
loop_
_symmetry_equiv_pos_as_xyz
'x,y,z'
loop_
_atom_site_label
_atom_site_type_symbol
_atom_site_fract_x
_atom_site_fract_y
_atom_site_fract_z
Tb1 Tb 0.000 0.000 0.500
Tb2 Tb 0.000 0.500 0.000
Tb3 Tb 0.500 0.000 0.000
Nd1 Nd 0.500 0.500 0.500
N1 N 0.000 0.000 0.000
N2 N 0.000 0.500 0.500
N3 N 0.500 0.000 0.500
N4 N 0.500 0.500 0.000

ii | # Tb3NdN4 | Alexandria | GGA-PBE | optimized geometry
# calculated volume: 15.667 Å³ per atom
# spin magnetization: 0.0 μB/f.u.
data_Tb3NdN4
_chemical_formula_sum 'Tb6 Nd2 N8'
_cell_length_a 6.128
_cell_length_b 7.082
_cell_length_c 6.126
_cell_angle_alpha 90.00
_cell_angle_beta 109.45
_cell_angle_gamma 90.00
_symmetry_space_group_name_H-M 'P 1'
_symmetry_Int_Tables_number 1
loop_
_symmetry_equiv_pos_as_xyz
'x,y,z'
loop_
_atom_site_label
_atom_site_type_symbol
_atom_site_fract_x
_atom_site_fract_y
_atom_site_fract_z
Tb1 Tb 0.000 0.124 0.250
Tb2 Tb 0.000 0.372 0.750
Tb3 Tb 0.000 0.628 0.250
Tb4 Tb 0.000 0.876 0.750
Tb5 Tb 0.500 0.124 0.750
Tb6 Tb 0.500 0.876 0.250
Nd1 Nd 0.500 0.373 0.250
Nd2 Nd 0.500 0.627 0.750
N1 N 0.243 0.368 0.502
N2 N 0.243 0.632 0.002
N3 N 0.248 0.123 0.995
N4 N 0.248 0.877 0.495
N5 N 0.752 0.123 0.505
N6 N 0.752 0.877 0.005
N7 N 0.757 0.368 0.998
N8 N 0.757 0.632 0.498

Which one sits at the top of the stability order? ii does.

i | # Nd2TcN4 | Alexandria | GGA-PBE | optimized geometry
# calculated volume: 16.085 Å³ per atom
# spin magnetization: 0.0 μB/f.u.
data_Nd2TcN4
_chemical_formula_sum 'Nd4 Tc2 N8'
_cell_length_a 5.963
_cell_length_b 5.823
_cell_length_c 6.824
_cell_angle_alpha 90.00
_cell_angle_beta 108.14
_cell_angle_gamma 90.00
_symmetry_space_group_name_H-M 'P 1'
_symmetry_Int_Tables_number 1
loop_
_symmetry_equiv_pos_as_xyz
'x,y,z'
loop_
_atom_site_label
_atom_site_type_symbol
_atom_site_fract_x
_atom_site_fract_y
_atom_site_fract_z
Nd1 Nd 0.188 0.250 0.041
Nd2 Nd 0.256 0.250 0.562
Nd3 Nd 0.744 0.750 0.438
Nd4 Nd 0.812 0.750 0.959
Tc1 Tc 0.270 0.750 0.809
Tc2 Tc 0.730 0.250 0.191
N1 N 0.042 0.512 0.751
N2 N 0.042 0.988 0.751
N3 N 0.441 0.750 0.080
N4 N 0.454 0.750 0.639
N5 N 0.546 0.250 0.361
N6 N 0.559 0.250 0.920
N7 N 0.958 0.012 0.249
N8 N 0.958 0.488 0.249

ii | # Nd2TcN4 | Alexandria | GGA-PBE | optimized geometry
# calculated volume: 13.668 Å³ per atom
# spin magnetization: 0.0 μB/f.u.
data_Nd2TcN4
_chemical_formula_sum 'Nd4 Tc2 N8'
_cell_length_a 3.878
_cell_length_b 3.878
_cell_length_c 12.721
_cell_angle_alpha 90.00
_cell_angle_beta 90.00
_cell_angle_gamma 90.00
_symmetry_space_group_name_H-M 'P 1'
_symmetry_Int_Tables_number 1
loop_
_symmetry_equiv_pos_as_xyz
'x,y,z'
loop_
_atom_site_label
_atom_site_type_symbol
_atom_site_fract_x
_atom_site_fract_y
_atom_site_fract_z
Nd1 Nd 0.000 0.000 0.147
Nd2 Nd 0.000 0.000 0.853
Nd3 Nd 0.500 0.500 0.353
Nd4 Nd 0.500 0.500 0.647
Tc1 Tc 0.000 0.000 0.500
Tc2 Tc 0.500 0.500 0.000
N1 N 0.000 0.000 0.332
N2 N 0.000 0.000 0.668
N3 N 0.000 0.500 0.000
N4 N 0.000 0.500 0.500
N5 N 0.500 0.000 0.000
N6 N 0.500 0.000 0.500
N7 N 0.500 0.500 0.168
N8 N 0.500 0.500 0.832

Which one sits at the top of the stability order? i does.

i | # NdTcN2 | Alexandria | GGA-PBE | optimized geometry
# calculated volume: 12.881 Å³ per atom
# spin magnetization: 1.7 μB/f.u.
data_NdTcN2
_chemical_formula_sum 'Nd3 Tc3 N6'
_cell_length_a 3.387
_cell_length_b 3.387
_cell_length_c 15.555
_cell_angle_alpha 90.00
_cell_angle_beta 90.00
_cell_angle_gamma 120.00
_symmetry_space_group_name_H-M 'P 1'
_symmetry_Int_Tables_number 1
loop_
_symmetry_equiv_pos_as_xyz
'x,y,z'
loop_
_atom_site_label
_atom_site_type_symbol
_atom_site_fract_x
_atom_site_fract_y
_atom_site_fract_z
Nd1 Nd 0.000 0.000 0.000
Nd2 Nd 0.333 0.667 0.667
Nd3 Nd 0.667 0.333 0.333
Tc1 Tc 0.000 0.000 0.500
Tc2 Tc 0.333 0.667 0.167
Tc3 Tc 0.667 0.333 0.833
N1 N 0.000 0.000 0.234
N2 N 0.000 0.000 0.766
N3 N 0.333 0.667 0.433
N4 N 0.333 0.667 0.901
N5 N 0.667 0.333 0.099
N6 N 0.667 0.333 0.567

ii | # NdTcN2 | Alexandria | GGA-PBE | optimized geometry
# calculated volume: 12.996 Å³ per atom
# spin magnetization: 0.0 μB/f.u.
data_NdTcN2
_chemical_formula_sum 'Nd4 Tc4 N8'
_cell_length_a 5.832
_cell_length_b 3.278
_cell_length_c 10.879
_cell_angle_alpha 90.00
_cell_angle_beta 90.00
_cell_angle_gamma 90.00
_symmetry_space_group_name_H-M 'P 1'
_symmetry_Int_Tables_number 1
loop_
_symmetry_equiv_pos_as_xyz
'x,y,z'
loop_
_atom_site_label
_atom_site_type_symbol
_atom_site_fract_x
_atom_site_fract_y
_atom_site_fract_z
Nd1 Nd 0.078 0.250 0.146
Nd2 Nd 0.422 0.750 0.646
Nd3 Nd 0.578 0.250 0.354
Nd4 Nd 0.922 0.750 0.854
Tc1 Tc 0.060 0.750 0.405
Tc2 Tc 0.440 0.250 0.905
Tc3 Tc 0.560 0.750 0.095
Tc4 Tc 0.940 0.250 0.595
N1 N 0.168 0.250 0.751
N2 N 0.234 0.250 0.491
N3 N 0.266 0.750 0.991
N4 N 0.332 0.750 0.251
N5 N 0.668 0.250 0.749
N6 N 0.734 0.250 0.009
N7 N 0.766 0.750 0.509
N8 N 0.832 0.750 0.249

Which one sits at the top of the stability order? ii does.

i | # Nd2Tc2N5 | Alexandria | GGA-PBE | optimized geometry
# calculated volume: 14.112 Å³ per atom
# spin magnetization: 0.0 μB/f.u.
data_Nd2Tc2N5
_chemical_formula_sum 'Nd2 Tc2 N5'
_cell_length_a 5.955
_cell_length_b 5.955
_cell_length_c 5.909
_cell_angle_alpha 106.82
_cell_angle_beta 106.82
_cell_angle_gamma 39.57
_symmetry_space_group_name_H-M 'P 1'
_symmetry_Int_Tables_number 1
loop_
_symmetry_equiv_pos_as_xyz
'x,y,z'
loop_
_atom_site_label
_atom_site_type_symbol
_atom_site_fract_x
_atom_site_fract_y
_atom_site_fract_z
Nd1 Nd 0.115 0.115 0.309
Nd2 Nd 0.885 0.885 0.691
Tc1 Tc 0.360 0.360 0.137
Tc2 Tc 0.640 0.640 0.863
N1 N 0.178 0.178 0.939
N2 N 0.344 0.344 0.443
N3 N 0.500 0.500 0.000
N4 N 0.656 0.656 0.557
N5 N 0.822 0.822 0.061

ii | # Nd2Tc2N5 | Alexandria | GGA-PBE | optimized geometry
# calculated volume: 13.816 Å³ per atom
# spin magnetization: 0.0 μB/f.u.
data_Nd2Tc2N5
_chemical_formula_sum 'Nd4 Tc4 N10'
_cell_length_a 8.799
_cell_length_b 8.799
_cell_length_c 8.799
_cell_angle_alpha 53.82
_cell_angle_beta 142.09
_cell_angle_gamma 143.27
_symmetry_space_group_name_H-M 'P 1'
_symmetry_Int_Tables_number 1
loop_
_symmetry_equiv_pos_as_xyz
'x,y,z'
loop_
_atom_site_label
_atom_site_type_symbol
_atom_site_fract_x
_atom_site_fract_y
_atom_site_fract_z
Nd1 Nd 0.013 0.109 0.122
Nd2 Nd 0.013 0.391 0.405
Nd3 Nd 0.987 0.609 0.595
Nd4 Nd 0.987 0.891 0.878
Tc1 Tc 0.390 0.697 0.193
Tc2 Tc 0.498 0.498 0.000
Tc3 Tc 0.498 0.998 0.500
Tc4 Tc 0.503 0.197 0.807
N1 N 0.240 0.854 0.886
N2 N 0.443 0.136 0.585
N3 N 0.443 0.359 0.807
N4 N 0.493 0.235 0.239
N5 N 0.493 0.754 0.758
N6 N 0.552 0.636 0.193
N7 N 0.552 0.859 0.415
N8 N 0.969 0.354 0.114
N9 N 0.996 0.254 0.761
N10 N 0.996 0.735 0.242

Which one sits at the top of the stability order? ii does.